CeMoClO4: optimized geometry, GGA+U.

a b c (Å): 20.0194 6.0806 7.4587
angles (deg): 90.00 90.53 90.00
Space group P2_1/c (No. 14)
Symmetry-distinct sites (fractional):
Ce  0.1105  0.2045  0.1202 [4 per cell]
Ce  0.3894  0.7046  0.3745 [4 per cell]
Mo  0.1751  0.7494  0.3703 [4 per cell]
Mo  0.3247  0.2493  0.1231 [4 per cell]
Cl  0.0004  0.2379  0.8721 [4 per cell]
Cl  0.4994  0.7391  0.6259 [4 per cell]
O  0.1341  0.0348  0.4177 [4 per cell]
O  0.1349  0.0349  0.8205 [4 per cell]
O  0.1550  0.6501  0.6198 [4 per cell]
O  0.2374  0.2445  0.1215 [4 per cell]
O  0.2624  0.7446  0.3718 [4 per cell]
O  0.3449  0.1501  0.8736 [4 per cell]
O  0.3650  0.5349  0.6730 [4 per cell]
O  0.3657  0.5348  0.0757 [4 per cell]

Its magnetization is 8.75 μB per cell. The calculated total energy is -7.21 eV per atom. As for the crystal system: monoclinic. The density of states at the Fermi level is 0.07 states/eV/atom.